No. 1
Below is an optimized crystal structure of Ho2Be4NiIr3, with properties calculated at the PBE level.

The structure belongs to space group P-4m2 (No. 115); the cell edges are 3.912, 3.912 and 9.361 Å and the angles 90.00°, 90.00° and 90.00°. The distinct sites, in fractional coordinates, are Ho at (0.000, 0.500, 0.247), Be at (0.000, 0.000, 0.500), Be at (0.000, 0.500, 0.879), Be at (0.500, 0.500, 0.500), Ni at (0.500, 0.500, 0.000), Ir at (0.000, 0.000, 0.000) and Ir at (0.000, 0.500, 0.631).

As for the total moment: 0.00 μB per cell. The value obtained for the density of states at the Fermi level is 3.3 states/eV/cell. For the formation enthalpy at 0 K, the calculation gives -0.6322 eV per atom.

---

No. 2
Below is an optimized crystal structure of PmHoBeIr, with properties calculated at the PBE level.

The structure belongs to space group F-43m (No. 216); the cell edges are 6.941, 6.941 and 6.941 Å and the angles 90.00°, 90.00° and 90.00°. The distinct sites, in fractional coordinates, are Pm at (0.000, 0.000, 0.000), Ho at (0.000, 0.000, 0.500), Be at (0.250, 0.250, 0.750) and Ir at (0.250, 0.250, 0.250).

As for the total moment: 0.00 μB per cell. The value obtained for the density of states at the Fermi level is 10.5 states/eV/cell. For the formation enthalpy at 0 K, the calculation gives -0.3258 eV per atom.

---

No. 3
Below is an optimized crystal structure of Ho2Be4IrPt3, with properties calculated at the PBE level.

The structure belongs to space group P-4m2 (No. 115); the cell edges are 4.027, 4.027 and 9.328 Å and the angles 90.00°, 90.00° and 90.00°. The distinct sites, in fractional coordinates, are Ho at (0.000, 0.500, 0.245), Be at (0.000, 0.000, 0.500), Be at (0.000, 0.500, 0.877), Be at (0.500, 0.500, 0.500), Ir at (0.500, 0.500, 0.000), Pt at (0.000, 0.000, 0.000) and Pt at (0.000, 0.500, 0.625).

As for the total moment: 0.00 μB per cell. The value obtained for the density of states at the Fermi level is 5.7 states/eV/cell. For the formation enthalpy at 0 K, the calculation gives -0.8830 eV per atom.

---

No. 4
Below is an optimized crystal structure of HoBe4Ir2Pt, with properties calculated at the PBE level.

The structure belongs to space group R-3m (No. 166, hexagonal axes); the cell edges are 3.9096, 3.9096 and 24.1226 Å and the angles 90.00°, 90.00° and 120.00°. The distinct sites, in fractional coordinates, are Ho at (0.0000, 0.0000, 0.0000), Be at (0.0000, 0.0000, 0.1287), Be at (0.0000, 0.0000, 0.4065), Ir at (0.0000, 0.0000, 0.2414) and Pt at (0.0000, 0.0000, 0.5000).

As for the total moment: 0.00 μB per cell. The value obtained for the density of states at the Fermi level is 5.7 states/eV/cell. For the formation enthalpy at 0 K, the calculation gives -0.6132 eV per atom.

---

No. 5
Below is an optimized crystal structure of HoBe4IrPt2, with properties calculated at the PBE level.

The structure belongs to space group R-3m (No. 166, hexagonal axes); the cell edges are 3.9318, 3.9318 and 24.0965 Å and the angles 90.00°, 90.00° and 120.00°. The distinct sites, in fractional coordinates, are Ho at (0.0000, 0.0000, 0.0000), Be at (0.0000, 0.0000, 0.1352), Be at (0.0000, 0.0000, 0.4076), Ir at (0.0000, 0.0000, 0.5000) and Pt at (0.0000, 0.0000, 0.2436).

As for the total moment: 0.00 μB per cell. The value obtained for the density of states at the Fermi level is 3.4 states/eV/cell. For the formation enthalpy at 0 K, the calculation gives -0.7106 eV per atom.

---

No. 6
Below is an optimized crystal structure of HoScBeIr, with properties calculated at the PBE level.

The structure belongs to space group F-43m (No. 216); the cell edges are 6.633, 6.633 and 6.633 Å and the angles 90.00°, 90.00° and 90.00°. The distinct sites, in fractional coordinates, are Ho at (0.000, 0.000, 0.000), Sc at (0.000, 0.000, 0.500), Be at (0.250, 0.250, 0.750) and Ir at (0.250, 0.250, 0.250).

As for the total moment: 0.00 μB per cell. The value obtained for the density of states at the Fermi level is 9.1 states/eV/cell. For the formation enthalpy at 0 K, the calculation gives -0.4647 eV per atom.

---

No. 7
Below is an optimized crystal structure of Ho2BeSi3Ir4, with properties calculated at the PBE level.

The structure belongs to space group P-4m2 (No. 115); the cell edges are 4.093, 4.093 and 9.769 Å and the angles 90.00°, 90.00° and 90.00°. The distinct sites, in fractional coordinates, are Ho at (0.000, 0.500, 0.244), Be at (0.500, 0.500, 0.000), Si at (0.000, 0.000, 0.000), Si at (0.000, 0.500, 0.633), Ir at (0.000, 0.000, 0.500), Ir at (0.000, 0.500, 0.875) and Ir at (0.500, 0.500, 0.500).

For the energy relative to the elements, uncorrected, the calculation gives -0.984 eV/atom. As for the total moment: 0.00 μB per cell. The value obtained for the density of states at the Fermi level is 7.4 states/eV/cell.

---

No. 8
Below is an optimized crystal structure of Ho2BeSi4Ir3, with properties calculated at the PBE level.

The structure belongs to space group P-4m2 (No. 115); the cell edges are 4.038, 4.038 and 10.087 Å and the angles 90.00°, 90.00° and 90.00°. The distinct sites, in fractional coordinates, are Ho at (0.000, 0.500, 0.248), Be at (0.500, 0.500, 0.000), Si at (0.000, 0.000, 0.500), Si at (0.000, 0.500, 0.867), Si at (0.500, 0.500, 0.500), Ir at (0.000, 0.000, 0.000) and Ir at (0.000, 0.500, 0.630).

For the energy relative to the elements, uncorrected, the calculation gives -0.864 eV/atom. As for the total moment: 0.00 μB per cell. The value obtained for the density of states at the Fermi level is 5.7 states/eV/cell.